[1]
First-principles (PBE) data for a relaxed structure of BaAg2Pt, as listed in Alexandria.

a = 4.386 Å, b = 4.389 Å, c = 4.952 Å
α = 90.00°, β = 90.00°, γ = 90.00°
Fractional coordinates of all 4 atoms:
Ag1 0.000 0.000 0.000
Ag2 0.500 0.500 0.000
Ba1 0.500 0.000 0.500
Pt1 0.000 0.500 0.500

Results
As for the space-group type: P4/mmm (123). The theoretical density is 9.55 g/cm³. For the magnetic moment, the calculation gives 0.00 μB per formula unit. The formation energy comes out at -5.1 kJ per mole of atoms. The calculation puts the total energy at -3.47 eV/atom. As for the distance to the lowest polymorph of the same formula: 25.1 kJ/mol of atoms.

[2]
First-principles (PBE) data for a relaxed structure of Ba7Ag4Pt, as listed in Alexandria.

a = 4.697 Å, b = 8.248 Å, c = 14.415 Å
α = 104.93°, β = 90.00°, γ = 106.54°
Fractional coordinates of all 12 atoms:
Ba1 0.748 0.495 0.368
Ag1 0.117 0.234 0.429
Ba2 0.491 0.981 0.506
Ag2 0.698 0.396 0.805
Ag3 0.998 0.997 0.997
Ba3 0.028 0.056 0.773
Ba4 0.654 0.308 0.047
Ba5 0.274 0.548 0.640
Ag4 0.300 0.600 0.194
Pt1 0.884 0.768 0.573
Ba6 0.965 0.930 0.218
Ba7 0.343 0.686 0.951

Results
As for the space-group type: Cm (8). The theoretical density is 5.11 g/cm³. For the magnetic moment, the calculation gives 0.00 μB per formula unit. The formation energy comes out at -28.3 kJ per mole of atoms. The calculation puts the total energy at -2.87 eV/atom.

[3]
First-principles (PBE) data for a relaxed structure of BaAg2Pt, as listed in Alexandria.

a = 4.857 Å, b = 4.422 Å, c = 5.301 Å
α = 94.42°, β = 90.00°, γ = 90.00°
Fractional coordinates of all 4 atoms:
Ag1 0.000 0.720 0.998
Ba1 0.500 0.250 0.250
Ag2 0.000 0.780 0.502
Pt1 0.500 0.750 0.750

Results
As for the space-group type: P2/m (10). The theoretical density is 8.02 g/cm³. For the magnetic moment, the calculation gives 0.00 μB per formula unit. The formation energy comes out at -17.2 kJ per mole of atoms. The calculation puts the total energy at -3.59 eV/atom. As for the distance to the lowest polymorph of the same formula: 13.0 kJ/mol of atoms.

[4]
First-principles (PBE) data for a relaxed structure of Ba2Ag5Pt5, as listed in Alexandria.

a = 4.544 Å, b = 5.683 Å, c = 9.846 Å
α = 90.00°, β = 90.00°, γ = 90.00°
Fractional coordinates of all 12 atoms:
Ba1 0.000 0.000 0.500
Ba2 0.000 0.500 0.000
Ag1 0.000 0.500 0.668
Pt1 0.500 0.752 0.744
Ag2 0.500 0.000 0.000
Pt2 0.500 0.500 0.500
Ag3 0.000 0.000 0.173
Pt3 0.500 0.752 0.256
Pt4 0.500 0.248 0.744
Ag4 0.000 0.000 0.827
Pt5 0.500 0.248 0.256
Ag5 0.000 0.500 0.332

Results
As for the space-group type: Pmmm (47). The theoretical density is 11.69 g/cm³. For the magnetic moment, the calculation gives 0.00 μB per formula unit. The formation energy comes out at -34.5 kJ per mole of atoms. The calculation puts the total energy at -4.38 eV/atom.

[5]
First-principles (PBE) data for a relaxed structure of RbBa2AgPt, as listed in Alexandria.

a = 6.127 Å, b = 6.127 Å, c = 5.642 Å
α = 90.00°, β = 90.00°, γ = 90.00°
Fractional coordinates of all 5 atoms:
Ba1 0.000 0.500 0.000
Ag1 0.000 0.000 0.500
Rb1 0.500 0.500 0.500
Ba2 0.500 0.000 0.000
Pt1 0.000 0.000 0.000

Results
As for the space-group type: P4/mmm (123). The theoretical density is 5.20 g/cm³. For the magnetic moment, the calculation gives 0.00 μB per formula unit. The formation energy comes out at -17.9 kJ per mole of atoms. The calculation puts the total energy at -2.93 eV/atom.

[6]
First-principles (PBE) data for a relaxed structure of Ba8AgPt2Rh, as listed in Alexandria.

a = 7.690 Å, b = 7.529 Å, c = 9.437 Å
α = 90.00°, β = 90.00°, γ = 89.45°
Fractional coordinates of all 12 atoms:
Ba1 0.822 0.231 0.767
Ba2 0.178 0.769 0.767
Ba3 0.338 0.286 0.500
Ag1 0.000 0.000 0.500
Ba4 0.320 0.267 0.000
Pt1 0.500 0.500 0.755
Ba5 0.680 0.733 0.000
Rh1 0.000 0.000 0.000
Ba6 0.662 0.714 0.500
Ba7 0.822 0.231 0.233
Ba8 0.178 0.769 0.233
Pt2 0.500 0.500 0.245

Results
As for the space-group type: P2/m (10). The theoretical density is 5.17 g/cm³. For the magnetic moment, the calculation gives 0.00 μB per formula unit. The formation energy comes out at -39.7 kJ per mole of atoms. The calculation puts the total energy at -3.55 eV/atom.

[7]
First-principles (PBE) data for a relaxed structure of Ba6AgPt2Rh, as listed in Alexandria.

a = 7.961 Å, b = 7.964 Å, c = 8.780 Å
α = 63.07°, β = 63.10°, γ = 60.12°
Fractional coordinates of all 10 atoms:
Ba1 0.386 0.733 0.759
Ba2 0.922 0.584 0.239
Ba3 0.121 0.387 0.759
Rh1 0.329 0.329 0.014
Pt1 0.507 0.507 0.479
Ba4 0.585 0.254 0.239
Ag1 0.826 0.825 0.525
Ba5 0.732 0.122 0.759
Ba6 0.255 0.922 0.238
Pt2 0.998 0.998 0.004

Results
As for the space-group type: P1 (1). The theoretical density is 5.75 g/cm³. For the magnetic moment, the calculation gives 0.00 μB per formula unit. The formation energy comes out at -39.5 kJ per mole of atoms. The calculation puts the total energy at -3.79 eV/atom.

[8]
First-principles (PBE) data for a relaxed structure of Ba6AgPtRh, as listed in Alexandria.

a = 7.949 Å, b = 7.949 Å, c = 15.320 Å
α = 90.00°, β = 90.00°, γ = 120.00°
Fractional coordinates of all 18 atoms:
Rh1 0.333 0.667 0.750
Ba1 0.006 0.351 0.635
Ba2 0.006 0.655 0.865
Ba3 0.649 0.994 0.865
Ba4 0.345 0.351 0.865
Ag1 0.000 0.000 0.500
Ba5 0.655 0.649 0.135
Ba6 0.649 0.655 0.635
Rh2 0.667 0.333 0.250
Ba7 0.994 0.345 0.135
Ba8 0.994 0.649 0.365
Pt1 0.667 0.333 0.750
Pt2 0.333 0.667 0.250
Ba9 0.345 0.994 0.635
Ba10 0.351 0.345 0.365
Ag2 0.000 0.000 0.000
Ba11 0.655 0.006 0.365
Ba12 0.351 0.006 0.135

Results
As for the space-group type: P-31c (163). The theoretical density is 4.87 g/cm³. For the magnetic moment, the calculation gives 0.00 μB per formula unit. The formation energy comes out at -32.8 kJ per mole of atoms. The calculation puts the total energy at -3.43 eV/atom.

[9]
First-principles (PBE) data for a relaxed structure of Ba6AgPtRh2, as listed in Alexandria.

a = 7.984 Å, b = 7.983 Å, c = 8.664 Å
α = 62.58°, β = 62.57°, γ = 60.03°
Fractional coordinates of all 10 atoms:
Pt1 0.325 0.325 0.026
Ag1 0.820 0.819 0.542
Ba1 0.376 0.739 0.753
Ba2 0.254 0.906 0.239
Ba3 0.131 0.377 0.753
Ba4 0.601 0.253 0.239
Ba5 0.739 0.132 0.753
Ba6 0.907 0.601 0.239
Rh1 0.508 0.509 0.475
Rh2 0.002 0.001 0.995

Results
As for the space-group type: R3 (146). The theoretical density is 5.46 g/cm³. For the magnetic moment, the calculation gives 0.00 μB per formula unit. The formation energy comes out at -25.2 kJ per mole of atoms. The calculation puts the total energy at -3.77 eV/atom.

[10]
First-principles (PBE) data for a relaxed structure of Ba8Ag2PtRh, as listed in Alexandria.

a = 7.867 Å, b = 7.660 Å, c = 9.446 Å
α = 90.00°, β = 90.00°, γ = 90.47°
Fractional coordinates of all 12 atoms:
Ag1 0.500 0.500 0.247
Ba1 0.683 0.747 0.500
Ba2 0.839 0.220 0.246
Ba3 0.312 0.244 0.000
Ba4 0.688 0.756 0.000
Pt1 0.000 0.000 0.500
Rh1 0.000 0.000 0.000
Ba5 0.317 0.253 0.500
Ag2 0.500 0.500 0.753
Ba6 0.161 0.780 0.246
Ba7 0.839 0.220 0.754
Ba8 0.161 0.780 0.754

Results
As for the space-group type: P2/m (10). The theoretical density is 4.70 g/cm³. For the magnetic moment, the calculation gives 0.00 μB per formula unit. The formation energy comes out at -28.8 kJ per mole of atoms. The calculation puts the total energy at -3.17 eV/atom.

In states/eV per cell, the density of states at the Fermi level values for the records above are, in order, 1.292 8.177 1.696 3.966 3.638 4.674 7.422 12.899 7.195 5.218.